[1]
Compound: Cr2IrBr
Source: Alexandria
Functional: GGA-PBE
Structure: relaxed

Properties
The theoretical density is 8.8 g cm⁻³. As for the total energy: -6.98 eV/atom. The calculation puts the density of states at the Fermi level at 1.0215 states/eV per atom. The spin magnetization is 6.20 μB per formula unit. Its uncorrected formation energy is 0.463 eV per atom. For the offset from the most stable computed form, the calculation gives 183 meV/atom.

Lattice parameters (Å, degrees): 7.122 7.122 7.122 151.97 155.12 37.83
Last column: magnetic moment on the atom in μB.
Fractional coordinates of all 4 atoms:
Br1 0.306 0.806 0.500  0.00
Cr1 0.968 0.968 0.000  2.38
Cr2 0.682 0.182 0.500  3.50
Ir1 0.544 0.544 0.000  -0.21

***

[2]
Compound: CrIrBr
Source: Alexandria
Functional: GGA-PBE
Structure: relaxed

Properties
The theoretical density is 10.7 g cm⁻³. As for the total energy: -5.89 eV/atom. The calculation puts the density of states at the Fermi level at 1.2234 states/eV per atom. The spin magnetization is 3.08 μB per formula unit. Its uncorrected formation energy is 0.827 eV per atom. For the offset from the most stable computed form, the calculation gives 428 meV/atom.

Lattice parameters (Å, degrees): 4.270 4.270 3.197 90.00 90.00 120.00
Last column: magnetic moment on the atom in μB.
Fractional coordinates of all 3 atoms:
Br1 0.000 0.000 0.981  -0.01
Cr1 0.667 0.333 0.338  3.05
Ir1 0.333 0.667 0.681  -0.23

***

[3]
Compound: Cr2IrBr
Source: Alexandria
Functional: GGA-PBE
Structure: relaxed

Properties
The theoretical density is 11.2 g cm⁻³. As for the total energy: -6.54 eV/atom. The calculation puts the density of states at the Fermi level at 1.1524 states/eV per atom. The spin magnetization is 0.01 μB per formula unit. Its uncorrected formation energy is 0.901 eV per atom. For the offset from the most stable computed form, the calculation gives 621 meV/atom.

Lattice parameters (Å, degrees): 5.094 5.094 5.094 146.78 128.71 62.49
Fractional coordinates of all 4 atoms:
Br1 0.250 0.750 0.500
Cr1 0.019 0.019 0.000
Cr2 0.481 0.481 0.000
Ir1 0.750 0.250 0.500

***

[4]
Compound: CrIr4Br
Source: Alexandria
Functional: GGA-PBE
Structure: relaxed

Properties
The theoretical density is 14.5 g cm⁻³. As for the total energy: -6.89 eV/atom. The calculation puts the density of states at the Fermi level at 1.6371 states/eV per atom. The spin magnetization is 0.19 μB per formula unit. Its uncorrected formation energy is 0.901 eV per atom.

Lattice parameters (Å, degrees): 5.270 5.270 5.270 60.00 60.00 60.00
Last column: magnetic moment on the atom in μB.
Fractional coordinates of all 6 atoms:
Cr1 0.000 0.000 0.000  3.40
Ir1 0.876 0.375 0.375  -0.86
Ir2 0.375 0.375 0.876  -0.86
Ir3 0.375 0.876 0.375  -0.86
Ir4 0.375 0.375 0.375  -0.86
Br1 0.750 0.750 0.750  -0.33